[1]
The following is a PBE calculation of AgSe4Br after structural relaxation, from Alexandria via LeMat-Bulk.

The structure belongs to space group P-1 (No. 2); the cell edges are 4.0843, 5.8687 and 8.1387 Å and the angles 69.73°, 86.13° and 78.15°. The inequivalent atoms are Ag at (0.0000, 0.0000, 0.0000), Se at (0.3301, 0.4702, 0.6316), Se at (0.4731, 0.9509, 0.2285) and Br at (0.0000, 0.5000, 0.0000).

The calculation puts the density of states at the Fermi level at 2.3 states/eV/f.u. For the energy relative to the elements, uncorrected, the calculation gives -0.003 eV per atom. For the relative energy among the computed polymorphs, the calculation gives 0.000 eV/atom. For the total DFT energy (no corrections), the calculation gives -3.08 eV per atom.

---

[2]
The following is a PBE calculation of AgSe2Br after structural relaxation, from Alexandria via LeMat-Bulk.

The structure belongs to space group Cmm2 (No. 35); the cell edges are 4.1739, 7.9026 and 7.8635 Å and the angles 90.00°, 90.00° and 90.00°. The inequivalent atoms are Ag at (0.0000, 0.0000, 0.0000), Se at (0.0000, 0.0000, 0.5844), Se at (0.0000, 0.5000, 0.7459) and Br at (0.0000, 0.5000, 0.1990).

The calculation puts the density of states at the Fermi level at 0.6 states/eV/f.u. For the energy relative to the elements, uncorrected, the calculation gives 0.067 eV per atom. For the relative energy among the computed polymorphs, the calculation gives 0.193 eV/atom. For the total DFT energy (no corrections), the calculation gives -2.81 eV per atom.

---

[3]
The following is a PBE calculation of AgSeBr after structural relaxation, from Alexandria via LeMat-Bulk.

The structure belongs to space group C2/m (No. 12); the cell edges are 11.6631, 4.4853 and 6.6084 Å and the angles 90.00°, 105.21° and 90.00°. The inequivalent atoms are Ag at (0.0000, 0.0000, 0.0000), Ag at (0.0000, 0.5000, 0.5000), Se at (0.0926, 0.0000, 0.6629) and Br at (0.1543, 0.5000, 0.1673).

The calculation puts the density of states at the Fermi level at 1.3 states/eV/f.u. For the energy relative to the elements, uncorrected, the calculation gives -0.069 eV per atom. For the relative energy among the computed polymorphs, the calculation gives 0.078 eV/atom. For the total DFT energy (no corrections), the calculation gives -2.74 eV per atom.

---

[4]
The following is a PBE calculation of SiAgSe2Br after structural relaxation, from Alexandria via LeMat-Bulk.

The structure belongs to space group P4/mmm (No. 123); the cell edges are 4.8043, 4.8043 and 5.3668 Å and the angles 90.00°, 90.00° and 90.00°. The inequivalent atoms are Si at (0.0000, 0.0000, 0.0000), Ag at (0.5000, 0.5000, 0.5000), Se at (0.0000, 0.5000, 0.0000) and Br at (0.0000, 0.0000, 0.5000).

The calculation puts the density of states at the Fermi level at 2.6 states/eV/f.u. For the energy relative to the elements, uncorrected, the calculation gives 0.241 eV per atom. For the relative energy among the computed polymorphs, the calculation gives 0.000 eV/atom. For the total DFT energy (no corrections), the calculation gives -3.14 eV per atom.

---

[5]
The following is a PBE calculation of SiAgSeBr2 after structural relaxation, from Alexandria via LeMat-Bulk.

The structure belongs to space group P4/mmm (No. 123); the cell edges are 5.1387, 5.1387 and 5.2872 Å and the angles 90.00°, 90.00° and 90.00°. The inequivalent atoms are Si at (0.0000, 0.0000, 0.0000), Ag at (0.5000, 0.5000, 0.5000), Se at (0.5000, 0.5000, 0.0000) and Br at (0.0000, 0.5000, 0.5000).

The calculation puts the density of states at the Fermi level at 1.0 states/eV/f.u. For the energy relative to the elements, uncorrected, the calculation gives 0.535 eV per atom. For the relative energy among the computed polymorphs, the calculation gives 0.417 eV/atom. For the total DFT energy (no corrections), the calculation gives -2.49 eV per atom.

---

[6]
The following is a PBE calculation of SiAg5Se4Br2 after structural relaxation, from Alexandria via LeMat-Bulk.

The structure belongs to space group Amm2 (No. 38); the cell edges are 7.8698, 11.3888 and 6.8043 Å and the angles 90.00°, 90.00° and 90.00°. The inequivalent atoms are Si at (0.0000, 0.0000, 0.0000), Ag at (0.1884, 0.1371, 0.4864), Ag at (0.5000, 0.0000, 0.9239), Se at (0.0000, 0.1691, 0.8103), Se at (0.2444, 0.0000, 0.1831) and Br at (0.5000, 0.1742, 0.6494).

The calculation puts the density of states at the Fermi level at 6.3 states/eV/f.u. For the energy relative to the elements, uncorrected, the calculation gives -0.246 eV per atom. For the total DFT energy (no corrections), the calculation gives -3.33 eV per atom.

---

[7]
The following is a PBE calculation of SiAgSeBr2 after structural relaxation, from Alexandria via LeMat-Bulk.

The structure belongs to space group P4/mmm (No. 123); the cell edges are 5.1221, 5.1221 and 4.9450 Å and the angles 90.00°, 90.00° and 90.00°. The inequivalent atoms are Si at (0.0000, 0.0000, 0.0000), Ag at (0.5000, 0.5000, 0.5000), Se at (0.0000, 0.0000, 0.5000) and Br at (0.0000, 0.5000, 0.0000).

The calculation puts the density of states at the Fermi level at 3.8 states/eV/f.u. For the energy relative to the elements, uncorrected, the calculation gives 0.118 eV per atom. For the relative energy among the computed polymorphs, the calculation gives 0.000 eV/atom. For the total DFT energy (no corrections), the calculation gives -2.90 eV per atom.

---

[8]
The following is a PBE calculation of SiAgSe2Br after structural relaxation, from Alexandria via LeMat-Bulk.

The structure belongs to space group P4/mmm (No. 123); the cell edges are 5.1009, 5.1009 and 5.1083 Å and the angles 90.00°, 90.00° and 90.00°. The inequivalent atoms are Si at (0.0000, 0.0000, 0.0000), Ag at (0.5000, 0.5000, 0.5000), Se at (0.0000, 0.5000, 0.5000) and Br at (0.5000, 0.5000, 0.0000).

The calculation puts the density of states at the Fermi level at 3.0 states/eV/f.u. For the energy relative to the elements, uncorrected, the calculation gives 0.694 eV per atom. For the relative energy among the computed polymorphs, the calculation gives 0.453 eV/atom. For the total DFT energy (no corrections), the calculation gives -2.69 eV per atom.